# 1
A plane-wave DFT calculation with GGA-PBE was carried out for crystalline Sr4Li2Au at its relaxed geometry.

Size of the total moment: 0.000 μB/atom
Total DFT energy (no corrections): -2.20 eV per atom
ΔE_f: -223 meV/atom

The structure in CIF format:
```
data_Sr4Li2Au
_chemical_formula_sum 'Sr8 Li4 Au2'
_cell_length_a 17.230
_cell_length_b 4.745
_cell_length_c 7.062
_cell_angle_alpha 90.00
_cell_angle_beta 103.09
_cell_angle_gamma 90.00
_space_group_name_H-M_alt 'C 1 2/m 1'
_space_group_IT_number 12
loop_
_space_group_symop_operation_xyz
'x,y,z'
'-x,-y,-z'
'-x,y,-z'
'x,-y,z'
'x+1/2,y+1/2,z'
'-x+1/2,-y+1/2,-z'
'-x+1/2,y+1/2,-z'
'x+1/2,-y+1/2,z'
loop_
_atom_site_label
_atom_site_type_symbol
_atom_site_fract_x
_atom_site_fract_y
_atom_site_fract_z
Sr1 Sr 0.073 0.000 0.278
Sr2 Sr 0.151 0.500 0.828
Li1 Li 0.232 0.500 0.373
Au1 Au 0.000 0.500 0.000
```

# 2
A plane-wave DFT calculation with GGA-PBE was carried out for crystalline Ca2CrRe at its relaxed geometry.

Size of the total moment: 0.728 μB/atom
Total DFT energy (no corrections): -5.57 eV per atom
ΔE_f: 948 meV/atom

The structure in CIF format:
```
data_Ca2CrRe
_chemical_formula_sum 'Ca2 Cr1 Re1'
_cell_length_a 4.245
_cell_length_b 4.255
_cell_length_c 4.716
_cell_angle_alpha 90.00
_cell_angle_beta 90.00
_cell_angle_gamma 90.00
_space_group_name_H-M_alt 'P m m m'
_space_group_IT_number 47
loop_
_space_group_symop_operation_xyz
'x,y,z'
'-x,-y,-z'
'-x,-y,z'
'x,y,-z'
'x,-y,-z'
'-x,y,z'
'-x,y,-z'
'x,-y,z'
loop_
_atom_site_label
_atom_site_type_symbol
_atom_site_fract_x
_atom_site_fract_y
_atom_site_fract_z
Ca1 Ca 0.000 0.000 0.000
Ca2 Ca 0.500 0.500 0.000
Cr1 Cr 0.000 0.500 0.500
Re1 Re 0.500 0.000 0.500
```

# 3
A plane-wave DFT calculation with GGA-PBE was carried out for crystalline KBa2SrHg at its relaxed geometry.

Size of the total moment: 0.000 μB/atom
Total DFT energy (no corrections): -1.44 eV per atom
ΔE_f: -60 meV/atom

The structure in CIF format:
```
data_KBa2SrHg
_chemical_formula_sum 'K1 Ba2 Sr1 Hg1'
_cell_length_a 6.698
_cell_length_b 6.698
_cell_length_c 6.649
_cell_angle_alpha 90.00
_cell_angle_beta 90.00
_cell_angle_gamma 90.00
_space_group_name_H-M_alt 'P 4/m m m'
_space_group_IT_number 123
_space_group_name_Hall '-P 4 2'
loop_
_atom_site_label
_atom_site_type_symbol
_atom_site_fract_x
_atom_site_fract_y
_atom_site_fract_z
K1 K 0.000 0.000 0.000
Ba1 Ba 0.000 0.500 0.500
Sr1 Sr 0.500 0.500 0.000
Hg1 Hg 0.000 0.000 0.500
```

# 4
A plane-wave DFT calculation with GGA-PBE was carried out for crystalline MgSn2Pb at its relaxed geometry.

Size of the total moment: 0.000 μB/atom
Total DFT energy (no corrections): -3.28 eV per atom
ΔE_f: 42 meV/atom

The structure in CIF format:
```
data_MgSn2Pb
_chemical_formula_sum 'Mg3 Sn6 Pb3'
_cell_length_a 4.9721
_cell_length_b 4.9721
_cell_length_c 16.5330
_cell_angle_alpha 90.00
_cell_angle_beta 90.00
_cell_angle_gamma 120.00
_space_group_name_H-M_alt 'R 3 m'
_space_group_IT_number 160
_space_group_name_Hall 'R 3 -2"'
loop_
_atom_site_label
_atom_site_type_symbol
_atom_site_fract_x
_atom_site_fract_y
_atom_site_fract_z
Mg1 Mg 0.0000 0.0000 0.0000
Sn1 Sn 0.0000 0.0000 0.3840
Sn2 Sn 0.0000 0.0000 0.5840
Pb1 Pb 0.0000 0.0000 0.8109
```

# 5
A plane-wave DFT calculation with GGA-PBE was carried out for crystalline CsMgGe at its relaxed geometry.

Size of the total moment: 0.218 μB/atom
Total DFT energy (no corrections): -2.30 eV per atom
ΔE_f: 56 meV/atom

The structure in CIF format:
```
data_CsMgGe
_chemical_formula_sum 'Cs1 Mg1 Ge1'
_cell_length_a 4.6915
_cell_length_b 4.6915
_cell_length_c 6.1153
_cell_angle_alpha 90.00
_cell_angle_beta 90.00
_cell_angle_gamma 120.00
_space_group_name_H-M_alt 'P -6 m 2'
_space_group_IT_number 187
_space_group_name_Hall 'P -6 2'
loop_
_atom_site_label
_atom_site_type_symbol
_atom_site_fract_x
_atom_site_fract_y
_atom_site_fract_z
Cs1 Cs 0.0000 0.0000 0.0000
Mg1 Mg 0.6667 0.3333 0.5000
Ge1 Ge 0.3333 0.6667 0.5000
```

# 6
A plane-wave DFT calculation with GGA-PBE was carried out for crystalline Li3Ca2NbO6 at its relaxed geometry.

Size of the total moment: 0.000 μB/atom
Total DFT energy (no corrections): -6.66 eV per atom
Formation energy (no corrections): -2.528 eV per atom

The structure in CIF format:
```
data_Li3Ca2NbO6
_chemical_formula_sum 'Li6 Ca4 Nb2 O12'
_cell_length_a 5.607
_cell_length_b 10.103
_cell_length_c 5.264
_cell_angle_alpha 90.00
_cell_angle_beta 108.13
_cell_angle_gamma 90.00
_space_group_name_H-M_alt 'C 1 2/m 1'
_space_group_IT_number 12
loop_
_space_group_symop_operation_xyz
'x,y,z'
'-x,-y,-z'
'-x,y,-z'
'x,-y,z'
'x+1/2,y+1/2,z'
'-x+1/2,-y+1/2,-z'
'-x+1/2,y+1/2,-z'
'x+1/2,-y+1/2,z'
loop_
_atom_site_label
_atom_site_type_symbol
_atom_site_fract_x
_atom_site_fract_y
_atom_site_fract_z
Li1 Li 0.000 0.000 0.000
Li2 Li 0.000 0.370 0.000
Ca1 Ca 0.000 0.170 0.500
Nb1 Nb 0.000 0.500 0.500
O1 O 0.213 0.356 0.734
O2 O 0.232 0.500 0.267
```